No. 1
First-principles (PBE) data for crystalline Sm5ScAl3 at its relaxed geometry, as listed in the Alexandria database.

symmetry: P6_3/mcm (193)
magnetic moment: 0.00 μB per formula unit
E_tot: -4.81 eV/atom

Lattice parameters (Å, degrees): 9.155 9.155 6.655 90.00 90.00 120.00
Sites, in units of the cell vectors:
Sm 0.000 0.324 0.250
Sm 0.000 0.676 0.750
Sm 0.324 0.000 0.250
Sm 0.324 0.324 0.750
Sm 0.333 0.667 0.000
Sm 0.333 0.667 0.500
Sm 0.667 0.333 0.000
Sm 0.667 0.333 0.500
Sm 0.676 0.000 0.750
Sm 0.676 0.676 0.250
Sc 0.000 0.000 0.000
Sc 0.000 0.000 0.500
Al 0.000 0.335 0.750
Al 0.000 0.665 0.250
Al 0.335 0.000 0.750
Al 0.335 0.335 0.250
Al 0.665 0.000 0.250
Al 0.665 0.665 0.750

No. 2
First-principles (PBE) data for crystalline SmSc2Al at its relaxed geometry, as listed in the Alexandria database.

symmetry: Pmmn (59)
E above lowest polymorph: 19 meV/atom
magnetic moment: 0.00 μB per formula unit

Lattice parameters (Å, degrees): 5.064 6.386 5.987 90.00 90.00 90.00
Sites, in units of the cell vectors:
Sm 0.250 0.250 0.118
Sm 0.750 0.750 0.882
Sc 0.250 0.009 0.645
Sc 0.250 0.491 0.645
Sc 0.750 0.509 0.355
Sc 0.750 0.991 0.355
Al 0.250 0.750 0.202
Al 0.750 0.250 0.798

No. 3
First-principles (PBE) data for crystalline TbSmScAl at its relaxed geometry, as listed in the Alexandria database.

symmetry: F-43m (216)
magnetic moment: 0.56 μB per formula unit
E_tot: -4.96 eV/atom

Lattice parameters (Å, degrees): 5.281 5.281 5.281 60.00 60.00 60.00
Sites, in units of the cell vectors:
Tb 0.000 0.000 0.000
Sm 0.500 0.500 0.500
Sc 0.250 0.250 0.250
Al 0.750 0.750 0.750

No. 4
First-principles (PBE) data for crystalline SmScAlTc at its relaxed geometry, as listed in the Alexandria database.

symmetry: F-43m (216)
magnetic moment: 0.00 μB per formula unit
E_tot: -6.44 eV/atom

Lattice parameters (Å, degrees): 4.883 4.883 4.883 60.00 60.00 60.00
Sites, in units of the cell vectors:
Sm 0.000 0.000 0.000
Sc 0.500 0.500 0.500
Al 0.750 0.750 0.750
Tc 0.250 0.250 0.250

No. 5
First-principles (PBE) data for crystalline SmThScAl at its relaxed geometry, as listed in the Alexandria database.

symmetry: F-43m (216)
magnetic moment: 0.00 μB per formula unit
E_tot: -5.61 eV/atom

Lattice parameters (Å, degrees): 5.321 5.321 5.321 60.00 60.00 60.00
Sites, in units of the cell vectors:
Sm 0.000 0.000 0.000
Th 0.500 0.500 0.500
Sc 0.750 0.750 0.750
Al 0.250 0.250 0.250

No. 6
First-principles (PBE) data for crystalline SmScAl2Zn5 at its relaxed geometry, as listed in the Alexandria database.

symmetry: P4/mmm (123)
magnetic moment: 0.00 μB per formula unit
E_tot: -2.89 eV/atom

Lattice parameters (Å, degrees): 4.234 4.234 9.613 90.00 90.00 90.00
Sites, in units of the cell vectors:
Sm 0.000 0.000 0.000
Sc 0.000 0.000 0.500
Al 0.500 0.500 0.373
Al 0.500 0.500 0.627
Zn 0.000 0.500 0.227
Zn 0.000 0.500 0.773
Zn 0.500 0.000 0.227
Zn 0.500 0.000 0.773
Zn 0.500 0.500 0.000

No. 7
First-principles (PBE) data for crystalline SmScAl2Zn2 at its relaxed geometry, as listed in the Alexandria database.

symmetry: P-3m1 (164)
magnetic moment: 0.00 μB per formula unit
E_tot: -3.97 eV/atom

Lattice parameters (Å, degrees): 4.427 4.427 7.058 90.00 90.00 120.00
Sites, in units of the cell vectors:
Sm 0.000 0.000 0.000
Sc 0.000 0.000 0.500
Al 0.333 0.667 0.720
Al 0.667 0.333 0.280
Zn 0.333 0.667 0.287
Zn 0.667 0.333 0.713

No. 8
First-principles (PBE) data for crystalline SmScAlZn at its relaxed geometry, as listed in the Alexandria database.

symmetry: F-43m (216)
magnetic moment: 0.00 μB per formula unit
E_tot: -4.38 eV/atom

Lattice parameters (Å, degrees): 4.989 4.989 4.989 60.00 60.00 60.00
Sites, in units of the cell vectors:
Sm 0.000 0.000 0.000
Sc 0.500 0.500 0.500
Al 0.750 0.750 0.750
Zn 0.250 0.250 0.250

No. 9
First-principles (PBE) data for crystalline ScAlSn3 at its relaxed geometry, as listed in the Alexandria database.

symmetry: Pm-3m (221)
E above lowest polymorph: 54 meV/atom
magnetic moment: 0.00 μB per formula unit

Lattice parameters (Å, degrees): 5.484 5.484 5.484 90.00 90.00 90.00
Sites, in units of the cell vectors:
Sc 0.000 0.000 0.000
Al 0.500 0.500 0.500
Sn 0.000 0.000 0.500
Sn 0.000 0.500 0.000
Sn 0.500 0.000 0.000

No. 10
First-principles (PBE) data for crystalline Sc2AlSn at its relaxed geometry, as listed in the Alexandria database.

symmetry: P4/mmm (123)
magnetic moment: 1.11 μB per formula unit
E_tot: -5.60 eV/atom

Lattice parameters (Å, degrees): 4.392 4.392 4.333 90.00 90.00 90.00
Sites, in units of the cell vectors:
Sc 0.000 0.500 0.000
Sc 0.500 0.000 0.000
Al 0.000 0.000 0.500
Sn 0.500 0.500 0.500

No. 11
First-principles (PBE) data for crystalline Sc5AlSn at its relaxed geometry, as listed in the Alexandria database.

symmetry: C2/c (15)
magnetic moment: 0.00 μB per formula unit
E_tot: -5.83 eV/atom

Lattice parameters (Å, degrees): 5.658 5.658 10.389 97.72 97.72 91.46
Sites, in units of the cell vectors:
Sc 0.006 0.592 0.157
Sc 0.122 0.878 0.750
Sc 0.238 0.520 0.474
Sc 0.408 0.994 0.343
Sc 0.480 0.762 0.026
Sc 0.520 0.238 0.974
Sc 0.592 0.006 0.657
Sc 0.762 0.480 0.526
Sc 0.878 0.122 0.250
Sc 0.994 0.408 0.843
Al 0.000 0.000 0.000
Al 0.000 0.000 0.500
Sn 0.484 0.516 0.750
Sn 0.516 0.484 0.250

No. 12
First-principles (PBE) data for crystalline Sc2AlSn at its relaxed geometry, as listed in the Alexandria database.

symmetry: P4/mmm (123)
magnetic moment: 0.00 μB per formula unit
E_tot: -5.53 eV/atom

Lattice parameters (Å, degrees): 3.640 3.640 6.443 90.00 90.00 90.00
Sites, in units of the cell vectors:
Sc 0.000 0.000 0.243
Sc 0.000 0.000 0.757
Al 0.500 0.500 0.000
Sn 0.500 0.500 0.500